The following is a DFT calculation (PBE-GGA) of LiRhCl6 after structural relaxation.

abc: 6.1591 11.1564 6.3404
angles: 90.00 112.40 90.00
Last column: nearest neighbours and their distance in Å.
Positions (direct):
Li (0.0000, 0.0000, 0.0000)  4 Cl 2.45
Li (0.5000, 0.5000, 0.0000)  4 Cl 2.45
Rh (0.0000, 0.5000, 0.5000)  6 Cl 2.30-2.34
Rh (0.5000, 0.0000, 0.5000)  6 Cl 2.30-2.34
Cl (0.2266, 0.3528, 0.7505)  1 Rh 2.34, 1 Li 2.45
Cl (0.2266, 0.6472, 0.7505)  1 Rh 2.34, 1 Li 2.45
Cl (0.2442, 0.0000, 0.6864)  1 Rh 2.30
Cl (0.2558, 0.5000, 0.3136)  1 Rh 2.30
Cl (0.2734, 0.1472, 0.2495)  1 Rh 2.34, 1 Li 2.45
Cl (0.2734, 0.8528, 0.2495)  1 Rh 2.34, 1 Li 2.45
Cl (0.7266, 0.1472, 0.7505)  1 Rh 2.34, 1 Li 2.45
Cl (0.7266, 0.8528, 0.7505)  1 Rh 2.34, 1 Li 2.45
Cl (0.7442, 0.5000, 0.6864)  1 Rh 2.30
Cl (0.7558, 0.0000, 0.3136)  1 Rh 2.30
Cl (0.7734, 0.3528, 0.2495)  1 Rh 2.34, 1 Li 2.45
Cl (0.7734, 0.6472, 0.2495)  1 Rh 2.34, 1 Li 2.45

Results
The relative energy among the computed polymorphs is 0 meV per atom. Its energy relative to the elements, uncorrected is -0.629 eV per atom. The calculation puts the total energy at -25.4 eV per formula unit.



The following is a DFT calculation (PBE-GGA) of LiRhCl2 after structural relaxation.

abc: 3.3028 3.3028 22.6522
angles: 90.00 90.00 120.00
Last column: nearest neighbours and their distance in Å.
Positions (direct):
Li (0.0000, 0.0000, 0.0000)  6 Cl 2.42
Li (0.3333, 0.6667, 0.6667)  6 Cl 2.42
Li (0.6667, 0.3333, 0.3333)  6 Cl 2.42
Rh (0.0000, 0.0000, 0.5000)  2 Cl 2.29
Rh (0.3333, 0.6667, 0.1667)  2 Cl 2.29
Rh (0.6667, 0.3333, 0.8333)  2 Cl 2.29
Cl (0.0000, 0.0000, 0.3989)  1 Rh 2.29, 3 Li 2.42
Cl (0.0000, 0.0000, 0.6011)  1 Rh 2.29, 3 Li 2.42
Cl (0.3333, 0.6667, 0.0656)  1 Rh 2.29, 3 Li 2.42
Cl (0.3333, 0.6667, 0.2678)  1 Rh 2.29, 3 Li 2.42
Cl (0.6667, 0.3333, 0.7322)  1 Rh 2.29, 3 Li 2.42
Cl (0.6667, 0.3333, 0.9344)  1 Rh 2.29, 3 Li 2.42

Results
The relative energy among the computed polymorphs is 31 meV per atom. Its energy relative to the elements, uncorrected is -0.642 eV per atom. The calculation puts the total energy at -15.5 eV per formula unit.



The following is a DFT calculation (PBE-GGA) of Li2RhCl5 after structural relaxation.

abc: 9.8385 8.9488 4.7188
angles: 90.00 115.46 90.00
Last column: nearest neighbours and their distance in Å.
Positions (direct):
Li (0.0000, 0.2294, 0.0000)  5 Cl 2.49-2.75
Li (0.0000, 0.7706, 0.0000)  5 Cl 2.49-2.75
Li (0.5000, 0.2706, 0.0000)  5 Cl 2.49-2.75
Li (0.5000, 0.7294, 0.0000)  5 Cl 2.49-2.75
Rh (0.2699, 0.5000, 0.0972)  6 Cl 2.34-2.42
Rh (0.7699, 0.0000, 0.0972)  6 Cl 2.34-2.42
Cl (0.0068, 0.5000, 0.8671)  1 Rh 2.34, 2 Li 2.51
Cl (0.0406, 0.0000, 0.3301)  1 Rh 2.40, 2 Li 2.50
Cl (0.2691, 0.2361, 0.0925)  1 Rh 2.36, 2 Li 2.49-2.51
Cl (0.2691, 0.7639, 0.0925)  1 Rh 2.36, 2 Li 2.49-2.51
Cl (0.3241, 0.5000, 0.6422)  2 Rh 2.39-2.42
Cl (0.5068, 0.0000, 0.8671)  1 Rh 2.34, 2 Li 2.51
Cl (0.5406, 0.5000, 0.3301)  1 Rh 2.40, 2 Li 2.50
Cl (0.7691, 0.2639, 0.0925)  1 Rh 2.36, 2 Li 2.49-2.51
Cl (0.7691, 0.7361, 0.0925)  1 Rh 2.36, 2 Li 2.49-2.51
Cl (0.8241, 0.0000, 0.6422)  2 Rh 2.39-2.42

Results
The relative energy among the computed polymorphs is 12 meV per atom. Its energy relative to the elements, uncorrected is -1.115 eV per atom. The calculation puts the total energy at -29.3 eV per formula unit.



The following is a DFT calculation (PBE-GGA) of LiRhCl4 after structural relaxation.

abc: 6.0575 3.5419 6.3460
angles: 90.00 90.40 90.00
Last column: nearest neighbours and their distance in Å.
Positions (direct):
Li (0.0000, 0.0000, 0.0000)  6 Cl 2.50-2.65
Rh (0.0000, 0.5000, 0.5000)  6 Cl 2.37-2.38
Cl (0.2157, 0.5000, 0.1892)  1 Rh 2.37, 2 Li 2.50
Cl (0.2179, 0.0000, 0.6396)  2 Rh 2.38, 1 Li 2.65
Cl (0.7821, 0.0000, 0.3604)  2 Rh 2.38, 1 Li 2.65
Cl (0.7843, 0.5000, 0.8108)  1 Rh 2.37, 2 Li 2.50

Results
Its energy relative to the elements, uncorrected is -0.994 eV per atom. The calculation puts the total energy at -22.6 eV per formula unit.



The following is a DFT calculation (PBE-GGA) of LiRhCl after structural relaxation.

abc: 3.0892 3.0892 5.7613
angles: 90.00 90.00 120.00
Last column: nearest neighbours and their distance in Å.
Positions (direct):
Li (0.0000, 0.0000, 0.0000)  3 Cl 2.40
Rh (0.6667, 0.3333, 0.3761)  3 Cl 2.67, 3 Li 2.81
Cl (0.3333, 0.6667, 0.7210)  3 Li 2.40, 3 Rh 2.67

Results
The relative energy among the computed polymorphs is 27 meV per atom. Its energy relative to the elements, uncorrected is -0.154 eV per atom. The calculation puts the total energy at -11.6 eV per formula unit.



The following is a DFT calculation (PBE-GGA) of LiRhCl2 after structural relaxation.

abc: 5.1272 3.4416 5.2191
angles: 90.00 96.31 90.00
Last column: nearest neighbours and their distance in Å.
Positions (direct):
Li (0.0000, 0.0000, 0.0000)  4 Cl 2.60, 2 Rh 2.61
Rh (0.0000, 0.0000, 0.5000)  4 Cl 2.36, 2 Li 2.61
Cl (0.2364, 0.5000, 0.7305)  2 Rh 2.36, 2 Li 2.60
Cl (0.7636, 0.5000, 0.2695)  2 Rh 2.36, 2 Li 2.60

Results
The relative energy among the computed polymorphs is 23 meV per atom. Its energy relative to the elements, uncorrected is -0.649 eV per atom. The calculation puts the total energy at -15.6 eV per formula unit.



The following is a DFT calculation (PBE-GGA) of LiRh2Cl after structural relaxation.

abc: 2.8781 2.8781 24.6620
angles: 90.00 90.00 120.00
Last column: nearest neighbours and their distance in Å.
Positions (direct):
Li (0.0000, 0.0000, 0.0000)  6 Rh 2.71, 6 Li 2.88
Li (0.3333, 0.6667, 0.6667)  6 Rh 2.71, 6 Li 2.88
Li (0.6667, 0.3333, 0.3333)  6 Rh 2.71, 6 Li 2.88
Rh (0.0000, 0.0000, 0.2467)  3 Cl 2.58, 3 Li 2.71, 6 Rh 2.88
Rh (0.0000, 0.0000, 0.7533)  3 Cl 2.58, 3 Li 2.71, 6 Rh 2.88
Rh (0.3333, 0.6667, 0.4200)  3 Cl 2.58, 3 Li 2.71, 6 Rh 2.88
Rh (0.3333, 0.6667, 0.9134)  3 Cl 2.58, 3 Li 2.71, 6 Rh 2.88
Rh (0.6667, 0.3333, 0.0866)  3 Cl 2.58, 3 Li 2.71, 6 Rh 2.88
Rh (0.6667, 0.3333, 0.5800)  3 Cl 2.58, 3 Li 2.71, 6 Rh 2.88
Cl (0.0000, 0.0000, 0.5000)  6 Rh 2.58, 6 Cl 2.88
Cl (0.3333, 0.6667, 0.1667)  6 Rh 2.58, 6 Cl 2.88
Cl (0.6667, 0.3333, 0.8333)  6 Rh 2.58, 6 Cl 2.88

Results
The relative energy among the computed polymorphs is 447 meV per atom. Its energy relative to the elements, uncorrected is 0.273 eV per atom. The calculation puts the total energy at -17.4 eV per formula unit.



The following is a DFT calculation (PBE-GGA) of LiRhCl2 after structural relaxation.

abc: 4.5006 4.5006 3.1251
angles: 90.00 90.00 90.00
Last column: nearest neighbours and their distance in Å.
Positions (direct):
Li (0.0000, 0.0000, 0.0000)  8 Cl 2.74
Rh (0.5000, 0.5000, 0.0000)  8 Cl 2.74
Cl (0.0000, 0.5000, 0.5000)  4 Rh 2.74, 4 Li 2.74
Cl (0.5000, 0.0000, 0.5000)  4 Rh 2.74, 4 Li 2.74

Results
The relative energy among the computed polymorphs is 238 meV per atom. Its energy relative to the elements, uncorrected is -0.434 eV per atom. The calculation puts the total energy at -14.7 eV per formula unit.